Below is an optimized crystal structure of Tc2PdWN, with properties calculated at the PBE-GGA level.

Structure (POSCAR):
```
Tc2PdWN
1.0
-3.188 -1.866 1.693
2.366 -1.276 3.048
-0.871 3.388 2.095
N Pd W Tc
1 1 1 2
direct
0.000 0.000 0.000
0.500 0.500 0.500
0.000 0.000 0.500
0.000 0.500 0.000
0.500 0.000 0.000
```

E_tot = -9.437 eV per atom
E_form (uncorrected) = 3 meV/atom
DOS at the Fermi energy = 0.787 states/eV per atom


Below is an optimized crystal structure of Zr2TcPdN, with properties calculated at the PBE-GGA level.

Structure (POSCAR):
```
Zr2TcPdN
1.0
-4.273 1.344 -0.645
-0.863 -3.827 -2.256
-1.057 -1.745 3.366
Zr Tc Pd N
2 1 1 1
direct
0.000 0.500 0.000
0.500 0.000 0.000
0.000 0.000 0.500
0.500 0.500 0.500
0.000 0.000 0.000
```

E_tot = -8.958 eV per atom
E_form (uncorrected) = -761 meV/atom
DOS at the Fermi energy = 0.660 states/eV per atom


no.,total magnetization (μB/atom)
1,0.000
2,0.000